Computed, not measured: a geometry-optimized Na3Al3Ga8 structure at the GGA-PBE level of DFT.

Lattice parameters (Å, degrees): 8.3227 8.3227 8.3227 149.13 108.06 80.31
Closest atoms and distances in Å follow each position.
Element x y z (fractional)
Na 0.0000 0.0000 0.0000  12 Ga 3.21-3.38
Na 0.2886 0.2886 0.0000  10 Ga 3.10-3.35, 2 Al 3.20
Na 0.7114 0.7114 0.0000  10 Ga 3.10-3.35, 2 Al 3.20
Al 0.3229 0.5000 0.8229  6 Ga 2.68-2.92, 2 Al 2.81
Al 0.5000 0.0000 0.5000  4 Ga 2.79, 4 Al 2.81
Al 0.6771 0.5000 0.1771  6 Ga 2.68-2.92, 2 Al 2.81
Ga 0.0196 0.6518 0.3677  4 Ga 2.59-2.69, 1 Al 2.68
Ga 0.1414 0.8532 0.2883  3 Ga 2.68-2.69, 3 Al 2.79-2.92
Ga 0.2841 0.6518 0.6323  4 Ga 2.59-2.69, 1 Al 2.68
Ga 0.4351 0.1468 0.2883  3 Ga 2.68-2.69, 3 Al 2.79-2.92
Ga 0.5649 0.8532 0.7117  3 Ga 2.68-2.69, 3 Al 2.79-2.92
Ga 0.7159 0.3482 0.3677  4 Ga 2.59-2.69, 1 Al 2.68
Ga 0.8586 0.1468 0.7117  3 Ga 2.68-2.69, 3 Al 2.79-2.92
Ga 0.9804 0.3482 0.6323  4 Ga 2.59-2.69, 1 Al 2.68

crystal system	orthorhombic
total moment	0.000	μB/f.u.
energy relative to the elements	-0.090	eV per atom


Computed, not measured: a geometry-optimized Ce2NdSn2Hg2 structure at the GGA-PBE level of DFT.

Lattice parameters (Å, degrees): 9.8023 9.8023 9.8023 28.72 28.72 28.72
Closest atoms and distances in Å follow each position.
Element x y z (fractional)
Ce 0.1434 0.1434 0.1434  3 Ce 3.10, 3 Hg 3.12
Ce 0.8566 0.8566 0.8566  3 Ce 3.10, 3 Hg 3.12
Nd 0.0000 0.0000 0.0000  6 Sn 3.31
Sn 0.2713 0.2713 0.2713  3 Hg 2.96, 3 Nd 3.31
Sn 0.7287 0.7287 0.7287  3 Hg 2.96, 3 Nd 3.31
Hg 0.4288 0.4288 0.4288  3 Sn 2.96, 3 Ce 3.12
Hg 0.5712 0.5712 0.5712  3 Sn 2.96, 3 Ce 3.12

crystal system	trigonal
total moment	2.842	μB/f.u.
energy relative to the elements	-0.315	eV per atom


Computed, not measured: a geometry-optimized MnHg2Os structure at the GGA-PBE level of DFT.

Lattice parameters (Å, degrees): 4.8871 4.8871 3.0679 90.00 90.00 106.96
Closest atoms and distances in Å follow each position.
Element x y z (fractional)
Mn 0.0000 0.0000 0.0000  8 Hg 2.89, 2 Os 2.91, 2 Mn 3.07
Hg 0.0000 0.5000 0.5000  4 Mn 2.89, 4 Os 2.89, 4 Hg 2.91-3.07
Hg 0.5000 0.0000 0.5000  4 Mn 2.89, 4 Os 2.89, 4 Hg 2.91-3.07
Os 0.5000 0.5000 0.0000  8 Hg 2.89, 2 Mn 2.91, 2 Os 3.07

energy relative to the lowest polymorph listed for this composition	318	meV/atom
crystal system	orthorhombic
total moment	4.434	μB/f.u.
energy relative to the elements	0.697	eV per atom


Computed, not measured: a geometry-optimized RbPu2I8 structure at the GGA-PBE level of DFT.

Lattice parameters (Å, degrees): 9.1908 9.1908 9.6713 104.16 104.16 53.49
Closest atoms and distances in Å follow each position.
Element x y z (fractional)
Rb 0.0000 0.0000 0.0000  6 I 3.87-3.94
Pu 0.1978 0.1978 0.6668  4 I 2.91-2.95
Pu 0.8022 0.8022 0.3332  4 I 2.91-2.95
I 0.1572 0.6503 0.2531  1 Pu 2.91
I 0.1869 0.1869 0.3568  1 Pu 2.95
I 0.3497 0.8428 0.7469  1 Pu 2.91
I 0.3714 0.3714 0.8514  1 Pu 2.92
I 0.6286 0.6286 0.1486  1 Pu 2.92
I 0.6503 0.1572 0.2531  1 Pu 2.91
I 0.8131 0.8131 0.6432  1 Pu 2.95
I 0.8428 0.3497 0.7469  1 Pu 2.91

crystal system	monoclinic
total moment	9.000	μB/f.u.
E_form (uncorrected)	-892	meV/atom


Computed, not measured: a geometry-optimized GaHg2Br3 structure at the GGA-PBE level of DFT.

Lattice parameters (Å, degrees): 9.3588 9.3588 6.9996 105.40 105.40 74.72
Closest atoms and distances in Å follow each position.
Element x y z (fractional)
Ga 0.0622 0.9378 0.7500  3 Br 2.30-2.37
Ga 0.9378 0.0622 0.2500  3 Br 2.30-2.37
Hg 0.3079 0.4414 0.1337  3 Hg 3.54-3.81, 1 Br 3.86
Hg 0.4414 0.3079 0.6337  3 Hg 3.54-3.81, 1 Br 3.86
Hg 0.5586 0.6921 0.3663  3 Hg 3.54-3.81, 1 Br 3.86
Hg 0.6921 0.5586 0.8663  3 Hg 3.54-3.81, 1 Br 3.86
Br 0.0675 0.1640 0.6616  1 Ga 2.37
Br 0.1640 0.0675 0.1616  1 Ga 2.37
Br 0.2645 0.7355 0.7500  1 Ga 2.30
Br 0.7355 0.2645 0.2500  1 Ga 2.30
Br 0.8360 0.9325 0.8384  1 Ga 2.37
Br 0.9325 0.8360 0.3384  1 Ga 2.37

crystal system	monoclinic
total moment	0.000	μB/f.u.
E_form (uncorrected)	-479	meV/atom


Computed, not measured: a geometry-optimized SrSn3Cl structure at the GGA-PBE level of DFT.

Lattice parameters (Å, degrees): 5.4883 5.4883 5.4883 90.00 90.00 90.00
Closest atoms and distances in Å follow each position.
Element x y z (fractional)
Sr 0.0000 0.0000 0.0000  12 Sn 3.88
Sn 0.0000 0.5000 0.5000  2 Cl 2.74
Sn 0.5000 0.0000 0.5000  2 Cl 2.74
Sn 0.5000 0.5000 0.0000  2 Cl 2.74
Cl 0.5000 0.5000 0.5000  6 Sn 2.74

energy relative to the lowest polymorph listed for this composition	0	meV/atom
crystal system	cubic
total moment	0.000	μB/f.u.
E_form (uncorrected)	-63	meV/atom


Computed, not measured: a geometry-optimized PrNiB4 structure at the GGA-PBE level of DFT.

Lattice parameters (Å, degrees): 6.0396 6.0396 3.5635 90.00 90.00 104.00
Closest atoms and distances in Å follow each position.
Element x y z (fractional)
Pr 0.1993 0.8007 0.0000  14 B 2.69-2.81
Pr 0.8007 0.1993 0.0000  14 B 2.69-2.81
Ni 0.3255 0.3255 0.0000  10 B 2.28-2.36
Ni 0.6745 0.6745 0.0000  10 B 2.28-2.36
B 0.1266 0.4306 0.5000  3 B 1.75-1.91
B 0.1343 0.1343 0.5000  3 B 1.80-2.00
B 0.4104 0.5896 0.5000  3 B 1.71-1.75
B 0.4306 0.1266 0.5000  3 B 1.75-1.91
B 0.5694 0.8734 0.5000  3 B 1.75-1.91
B 0.5896 0.4104 0.5000  3 B 1.71-1.75
B 0.8657 0.8657 0.5000  3 B 1.80-2.00
B 0.8734 0.5694 0.5000  3 B 1.75-1.91

energy relative to the lowest polymorph listed for this composition	136	meV/atom
crystal system	orthorhombic
total moment	0.000	μB/f.u.
energy relative to the elements	-0.377	eV per atom


Computed, not measured: a geometry-optimized La2Pr4Tm3 structure at the GGA-PBE level of DFT.

Lattice parameters (Å, degrees): 6.3386 6.3386 10.9140 107.15 107.15 48.12
Closest atoms and distances in Å follow each position.
Element x y z (fractional)
La 0.1664 0.1664 0.2258  5 Tm 3.58-3.66, 7 Pr 3.63-3.69
La 0.8336 0.8336 0.7742  5 Tm 3.58-3.66, 7 Pr 3.63-3.69
Pr 0.1667 0.1667 0.8876  4 Tm 3.64-3.67, 4 La 3.65-3.69, 4 Pr 3.65-3.66
Pr 0.4975 0.4975 0.6647  6 Tm 3.60-3.66, 3 Pr 3.61-3.65, 3 La 3.63-3.68
Pr 0.5025 0.5025 0.3353  6 Tm 3.60-3.66, 3 Pr 3.61-3.65, 3 La 3.63-3.68
Pr 0.8333 0.8333 0.1124  4 Tm 3.64-3.67, 4 La 3.65-3.69, 4 Pr 3.65-3.66
Tm 0.1643 0.1643 0.5533  3 La 3.58-3.64, 3 Tm 3.60-3.67, 6 Pr 3.60-3.66
Tm 0.5000 0.5000 0.0000  8 Pr 3.65-3.67, 4 La 3.66
Tm 0.8357 0.8357 0.4467  3 La 3.58-3.64, 3 Tm 3.60-3.67, 6 Pr 3.60-3.66

crystal system	monoclinic
total moment	0.000	μB/f.u.
energy relative to the elements	0.026	eV per atom


Computed, not measured: a geometry-optimized TaOsSe2 structure at the GGA-PBE level of DFT.

Lattice parameters (Å, degrees): 3.0806 4.2800 5.2442 90.00 90.00 90.00
Closest atoms and distances in Å follow each position.
Element x y z (fractional)
Ta 0.0000 0.0000 0.0000  4 Se 2.64
Os 0.5000 0.0000 0.5000  4 Se 2.64
Se 0.0000 0.5000 0.5000  4 Os 2.64
Se 0.5000 0.5000 0.0000  4 Ta 2.64

energy relative to the lowest polymorph listed for this composition	729	meV/atom
crystal system	orthorhombic
total moment	0.000	μB/f.u.
E_form (uncorrected)	570	meV/atom


Computed, not measured: a geometry-optimized Ba2In2Cl structure at the GGA-PBE level of DFT.

Lattice parameters (Å, degrees): 6.6377 6.6377 6.6377 118.35 118.35 92.88
Closest atoms and distances in Å follow each position.
Element x y z (fractional)
Ba 0.2500 0.7500 0.5000  4 In 3.53
Ba 0.7500 0.2500 0.5000  4 In 3.53
In 0.1475 0.1475 0.0000  1 In 2.70
In 0.8525 0.8525 0.0000  1 In 2.70
Cl 0.5000 0.5000 0.0000  2 In 3.22

crystal system	tetragonal
total moment	0.000	μB/f.u.
E_form (uncorrected)	-474	meV/atom


Computed, not measured: a geometry-optimized CaCrPd structure at the GGA-PBE level of DFT.

Lattice parameters (Å, degrees): 3.1253 3.1064 11.1979 90.00 92.71 90.00
Closest atoms and distances in Å follow each position.
Element x y z (fractional)
Ca 0.0000 0.0000 0.0000  8 Pd 3.01-3.03, 4 Ca 3.11-3.13
Ca 0.0622 0.0000 0.3666  4 Pd 3.01, 4 Ca 3.11-3.13, 4 Cr 3.12-3.23
Cr 0.5617 0.5000 0.5711  2 Cr 2.19
Cr 0.9411 0.0000 0.6643  2 Cr 2.19
Pd 0.4753 0.5000 0.8152  5 Cr 2.76-2.79, 4 Ca 3.01-3.03
Pd 0.5313 0.5000 0.1831  8 Ca 3.01, 4 Pd 3.11-3.13

energy relative to the lowest polymorph listed for this composition	70	meV/atom
crystal system	monoclinic
total moment	0.000	μB/f.u.
energy relative to the elements	-0.018	eV per atom


Computed, not measured: a geometry-optimized NiMo2Br structure at the GGA-PBE level of DFT.

Lattice parameters (Å, degrees): 5.2235 5.2235 5.2235 138.08 138.08 60.78
Closest atoms and distances in Å follow each position.
Element x y z (fractional)
Ni 0.0000 0.0000 0.0000  4 Br 2.64, 8 Mo 2.93
Mo 0.2500 0.7500 0.5000  4 Mo 2.64, 4 Br 2.93, 4 Ni 2.93
Mo 0.7500 0.2500 0.5000  4 Mo 2.64, 4 Br 2.93, 4 Ni 2.93
Br 0.5000 0.5000 0.0000  4 Ni 2.64, 8 Mo 2.93

energy relative to the lowest polymorph listed for this composition	541	meV/atom
crystal system	tetragonal
total moment	0.000	μB/f.u.
E_form (uncorrected)	896	meV/atom


What did the eighth record say?
Computed, not measured: a geometry-optimized La2Pr4Tm3 structure at the GGA-PBE level of DFT.

Lattice parameters (Å, degrees): 6.3386 6.3386 10.9140 107.15 107.15 48.12
Closest atoms and distances in Å follow each position.
Element x y z (fractional)
La 0.1664 0.1664 0.2258  5 Tm 3.58-3.66, 7 Pr 3.63-3.69
La 0.8336 0.8336 0.7742  5 Tm 3.58-3.66, 7 Pr 3.63-3.69
Pr 0.1667 0.1667 0.8876  4 Tm 3.64-3.67, 4 La 3.65-3.69, 4 Pr 3.65-3.66
Pr 0.4975 0.4975 0.6647  6 Tm 3.60-3.66, 3 Pr 3.61-3.65, 3 La 3.63-3.68
Pr 0.5025 0.5025 0.3353  6 Tm 3.60-3.66, 3 Pr 3.61-3.65, 3 La 3.63-3.68
Pr 0.8333 0.8333 0.1124  4 Tm 3.64-3.67, 4 La 3.65-3.69, 4 Pr 3.65-3.66
Tm 0.1643 0.1643 0.5533  3 La 3.58-3.64, 3 Tm 3.60-3.67, 6 Pr 3.60-3.66
Tm 0.5000 0.5000 0.0000  8 Pr 3.65-3.67, 4 La 3.66
Tm 0.8357 0.8357 0.4467  3 La 3.58-3.64, 3 Tm 3.60-3.67, 6 Pr 3.60-3.66

crystal system	monoclinic
total moment	0.000	μB/f.u.
energy relative to the elements	0.026	eV per atom


> Which of these has the highest total moment?

RbPu2I8


> What is the formula in the eighth record?

La2Pr4Tm3